1.
Here is a geometry-optimized ZrSnTe structure from the Alexandria database. Energies are from PBE.

Computed properties:
Formation energy without anion corrections, meV per atom: -682
Total energy, eV per atom: -5.91

a = 4.104 Å, b = 4.104 Å, c = 8.799 Å
α = 90.00°, β = 90.00°, γ = 90.00°
Fractional positions:
Zr: 0.250 0.250 0.236
Zr: 0.750 0.750 0.764
Sn: 0.250 0.750 0.500
Sn: 0.750 0.250 0.500
Te: 0.250 0.250 0.881
Te: 0.750 0.750 0.119

2.
Here is a geometry-optimized Pa2MnTe2 structure from the Alexandria database. Energies are from PBE.

Computed properties:
Formation energy without anion corrections, meV per atom: -414
Total energy, eV per atom: -7.30

a = 7.668 Å, b = 7.668 Å, c = 7.668 Å
α = 130.75°, β = 69.76°, γ = 133.88°
Fractional positions:
Pa: 0.104 0.201 0.306
Pa: 0.396 0.701 0.097
Pa: 0.604 0.299 0.903
Pa: 0.896 0.799 0.694
Mn: 0.250 0.750 0.500
Mn: 0.750 0.250 0.500
Te: 0.145 0.705 0.849
Te: 0.355 0.205 0.560
Te: 0.645 0.795 0.440
Te: 0.855 0.295 0.151

3.
Here is a geometry-optimized Fe2TcP structure from the Alexandria database. Energies are from PBE.

Computed properties:
Total energy, eV per atom: -8.35
Energy of formation from the pure elements, eV per atom: -0.172

a = 2.934 Å, b = 3.034 Å, c = 5.794 Å
α = 90.00°, β = 104.58°, γ = 90.00°
Fractional positions:
Fe: 0.000 0.000 0.000
Fe: 0.367 0.500 0.733
Tc: 0.741 0.000 0.479
P: 0.578 0.500 0.157

4.
Here is a geometry-optimized PmNd3Dy6 structure from the Alexandria database. Energies are from PBE.

Computed properties:
Total energy, eV per atom: -4.52
Energy of formation from the pure elements, eV per atom: 0.147

a = 10.978 Å, b = 10.978 Å, c = 6.364 Å
α = 90.00°, β = 90.00°, γ = 119.78°
Fractional positions:
Pm: 0.195 0.805 0.500
Pm: 0.805 0.195 0.000
Nd: 0.063 0.290 0.333
Nd: 0.290 0.063 0.833
Nd: 0.388 0.612 0.441
Nd: 0.612 0.388 0.941
Nd: 0.710 0.937 0.333
Nd: 0.937 0.710 0.833
Dy: 0.039 0.961 0.241
Dy: 0.050 0.470 0.743
Dy: 0.273 0.727 0.019
Dy: 0.288 0.378 0.916
Dy: 0.378 0.288 0.416
Dy: 0.470 0.050 0.243
Dy: 0.530 0.950 0.743
Dy: 0.622 0.712 0.916
Dy: 0.712 0.622 0.416
Dy: 0.727 0.273 0.519
Dy: 0.950 0.530 0.243
Dy: 0.961 0.039 0.741

5.
Here is a geometry-optimized CdFe2IrC structure from the Alexandria database. Energies are from PBE.

Computed properties:
Total energy, eV per atom: -7.01
Energy of formation from the pure elements, eV per atom: 0.173

a = 3.969 Å, b = 3.969 Å, c = 4.075 Å
α = 90.00°, β = 90.00°, γ = 90.00°
Fractional positions:
Cd: 0.000 0.000 0.000
Fe: 0.000 0.500 0.500
Fe: 0.500 0.000 0.500
Ir: 0.500 0.500 0.000
C: 0.500 0.500 0.500

6.
Here is a geometry-optimized NbAlSb3 structure from the Alexandria database. Energies are from PBE.

Computed properties:
Formation energy without anion corrections, meV per atom: 485
Total energy, eV per atom: -4.75

a = 5.377 Å, b = 5.377 Å, c = 5.377 Å
α = 90.00°, β = 90.00°, γ = 90.00°
Fractional positions:
Nb: 0.000 0.000 0.000
Al: 0.500 0.500 0.500
Sb: 0.000 0.000 0.500
Sb: 0.000 0.500 0.000
Sb: 0.500 0.000 0.000

7.
Here is a geometry-optimized LiInSn structure from the Alexandria database. Energies are from PBE.

Computed properties:
Total energy, eV per atom: -3.06
Energy of formation from the pure elements, eV per atom: -0.180

a = 3.292 Å, b = 6.366 Å, c = 6.755 Å
α = 90.00°, β = 103.70°, γ = 90.00°
Fractional positions:
Li: 0.000 0.250 0.000
Li: 0.000 0.750 0.000
In: 0.352 0.000 0.702
In: 0.648 0.000 0.298
Sn: 0.353 0.500 0.702
Sn: 0.647 0.500 0.298

8.
Here is a geometry-optimized Sm2Cu4Sn5 structure from the Alexandria database. Energies are from PBE.

Computed properties:
Total energy, eV per atom: -4.42
Energy of formation from the pure elements, eV per atom: -0.254

a = 12.971 Å, b = 12.971 Å, c = 12.971 Å
α = 160.38°, β = 160.38°, γ = 27.88°
Fractional positions:
Sm: 0.000 0.000 0.000
Sm: 0.321 0.321 0.000
Cu: 0.410 0.910 0.500
Cu: 0.772 0.772 0.000
Cu: 0.866 0.866 0.000
Cu: 0.910 0.410 0.500
Sn: 0.097 0.597 0.500
Sn: 0.213 0.713 0.500
Sn: 0.469 0.469 0.000
Sn: 0.597 0.097 0.500
Sn: 0.713 0.213 0.500